Mg3HIr: optimized geometry, PBE.

Unit cell a=8.9247 b=4.3055 c=4.3060 alpha=90.00 beta=118.83 gamma=90.00
Last column: nearest neighbours and their distance in Å.
Space group Cm (No. 8)
Asymmetric unit:
1 Mg 0.0000 0.0000 0.0000 x2  2 H 2.20
2 Mg 0.0000 0.5000 0.5000 x2  2 H 2.19-2.20
3 Mg 0.2456 0.0000 0.7449 x2  1 H 2.43
4 H 0.0560 0.5000 0.0568 x2  1 Ir 1.68
5 Ir 0.2705 0.5000 0.2712 x2  1 H 1.68

## Properties
- E above lowest polymorph (meV/atom) = 67
- uncorrected energy (eV per atom) = -3.653
- total moment (μB per atom) = 0.000
- density of states at the Fermi level (states/eV/f.u.) = 2.3
- crystal system = monoclinic